The following is a DFT calculation (PBE) of an optimized crystal structure of Hg2RhBr.

Its uncorrected formation energy is 62.2 meV/atom. Its symmetry is Pm, No. 6. The distance to the lowest polymorph of the same formula is 0 meV per atom. The value obtained for the total DFT energy (no corrections) is -2.345 eV per atom.

Cell: 3.3148 4.3541 8.4364 Å, 59.09 90.00 90.00°
Sites, in units of the cell vectors:
1 Hg 0.0000 0.0784 0.0456
2 Hg 0.5000 0.2860 0.3388
3 Rh 0.0000 0.7101 0.4149
4 Br 0.5000 0.4254 0.7008

The following is a DFT calculation (PBE) of an optimized crystal structure of HgRhBr2.

Its uncorrected formation energy is 645.7 meV/atom. Its symmetry is F-43m, No. 216. The distance to the lowest polymorph of the same formula is 792 meV per atom. The value obtained for the total DFT energy (no corrections) is -2.104 eV per atom.

Cell: 5.0275 5.0275 5.0275 Å, 60.00 60.00 60.00°
Site moments in Bohr magnetons follow the coordinates.
Sites, in units of the cell vectors:
1 Rh 0.2500 0.2500 0.2500  0.98
2 Br 0.0000 0.0000 0.0000  0.18
3 Br 0.7500 0.7500 0.7500  0.10
4 Hg 0.5000 0.5000 0.5000  -0.02

The following is a DFT calculation (PBE) of an optimized crystal structure of HgRh2Br.

Its uncorrected formation energy is 304.5 meV/atom. Its symmetry is Cm, No. 8. The distance to the lowest polymorph of the same formula is 66 meV per atom. The value obtained for the total DFT energy (no corrections) is -3.865 eV per atom.

Cell: 6.5568 6.5568 4.6454 Å, 84.93 84.93 26.35°
Sites, in units of the cell vectors:
1 Hg 0.2085 0.2085 0.2722
2 Rh 0.7627 0.7627 0.7622
3 Rh 0.0910 0.0910 0.7997
4 Br 0.4378 0.4378 0.6659

The following is a DFT calculation (PBE) of an optimized crystal structure of HgRh2Br.

Its uncorrected formation energy is 386.6 meV/atom. Its symmetry is R-3m, No. 166. The distance to the lowest polymorph of the same formula is 148 meV per atom. The value obtained for the total DFT energy (no corrections) is -3.783 eV per atom.

Cell: 8.4610 8.4610 8.4610 Å, 21.42 21.42 21.42°
Sites, in units of the cell vectors:
1 Br 0.2500 0.2500 0.2500
2 Rh 0.9957 0.9957 0.9957
3 Rh 0.5043 0.5043 0.5043
4 Hg 0.7500 0.7500 0.7500

The following is a DFT calculation (PBE) of an optimized crystal structure of HgRhBr2.

Its uncorrected formation energy is -52.6 meV/atom. Its symmetry is Immm, No. 71. The distance to the lowest polymorph of the same formula is 93 meV per atom. The value obtained for the total DFT energy (no corrections) is -2.802 eV per atom.

Cell: 7.1087 7.1087 7.1087 Å, 152.62 136.75 51.95°
Sites, in units of the cell vectors:
1 Hg 0.7500 0.2500 0.5000
2 Br 0.3971 0.3971 0.0000
3 Br 0.1029 0.1029 0.0000
4 Rh 0.2500 0.7500 0.5000

The following is a DFT calculation (PBE) of an optimized crystal structure of Hg2RhBr.

Its uncorrected formation energy is 395.4 meV/atom. Its symmetry is I-4m2, No. 119. The distance to the lowest polymorph of the same formula is 333 meV per atom. The value obtained for the total DFT energy (no corrections) is -2.012 eV per atom.

Cell: 5.4052 5.4052 5.4052 Å, 132.70 132.70 69.12°
Sites, in units of the cell vectors:
1 Hg 0.2500 0.7500 0.5000
2 Hg 0.0000 0.0000 0.0000
3 Rh 0.5000 0.5000 0.0000
4 Br 0.7500 0.2500 0.5000

The following is a DFT calculation (PBE) of an optimized crystal structure of HgRhBr2.

Its uncorrected formation energy is -145.9 meV/atom. Its symmetry is Cm, No. 8. The distance to the lowest polymorph of the same formula is 0 meV per atom. The value obtained for the total DFT energy (no corrections) is -2.896 eV per atom.

Cell: 5.6330 5.6330 6.9289 Å, 65.70 65.70 36.54°
Sites, in units of the cell vectors:
1 Hg 0.4360 0.4360 0.6253
2 Br 0.1054 0.1054 0.9085
3 Br 0.2646 0.2646 0.3412
4 Rh 0.6941 0.6941 0.6250

The following is a DFT calculation (PBE) of an optimized crystal structure of HgRh2Br.

Its uncorrected formation energy is 699.9 meV/atom. Its symmetry is F-43m, No. 216. The distance to the lowest polymorph of the same formula is 461 meV per atom. The value obtained for the total DFT energy (no corrections) is -3.469 eV per atom.

Cell: 4.7179 4.7179 4.7179 Å, 60.00 60.00 60.00°
Site moments in Bohr magnetons follow the coordinates.
Sites, in units of the cell vectors:
1 Br 0.5000 0.5000 0.5000  0.11
2 Rh 0.2500 0.2500 0.2500  1.15
3 Rh 0.0000 0.0000 0.0000  0.91
4 Hg 0.7500 0.7500 0.7500  0.02

The following is a DFT calculation (PBE) of an optimized crystal structure of HgRhBr2.

Its uncorrected formation energy is 77.7 meV/atom. Its symmetry is Cmm2, No. 35. The distance to the lowest polymorph of the same formula is 224 meV per atom. The value obtained for the total DFT energy (no corrections) is -2.672 eV per atom.

Cell: 3.7074 3.7074 8.8998 Å, 90.00 90.00 120.19°
Site moments in Bohr magnetons follow the coordinates.
Sites, in units of the cell vectors:
1 Br 0.5000 0.5000 0.3008  -0.01
2 Br 0.0000 0.0000 0.9278  0.07
3 Rh 0.5000 0.5000 0.7475  0.62
4 Hg 0.0000 0.0000 0.5240  -0.01

The following is a DFT calculation (PBE) of an optimized crystal structure of HgRhBr2.

Its uncorrected formation energy is 82.1 meV/atom. Its symmetry is I-42d, No. 122. The distance to the lowest polymorph of the same formula is 228 meV per atom. The value obtained for the total DFT energy (no corrections) is -2.668 eV per atom.

Cell: 7.4507 7.4507 7.5200 Å, 60.30 60.30 90.00°
Sites, in units of the cell vectors:
1 Rh 0.5000 0.5000 0.0000
2 Rh 0.2500 0.7500 0.5000
3 Hg 0.0000 0.0000 0.0000
4 Hg 0.7500 0.2500 0.5000
5 Br 0.2670 0.6250 0.2500
6 Br 0.8750 0.7330 0.7500
7 Br 0.3750 0.5170 0.7500
8 Br 0.4830 0.1250 0.2500

The following is a DFT calculation (PBE) of an optimized crystal structure of HgRh2Br.

Its uncorrected formation energy is 577.5 meV/atom. Its symmetry is C2/m, No. 12. The distance to the lowest polymorph of the same formula is 339 meV per atom. The value obtained for the total DFT energy (no corrections) is -3.592 eV per atom.

Cell: 5.3879 5.2965 3.1470 Å, 88.71 73.68 119.01°
Sites, in units of the cell vectors:
1 Rh 0.0000 0.5000 0.5000
2 Rh 0.0000 0.0000 0.0000
3 Hg 0.5000 0.0000 0.5000
4 Br 0.5000 0.5000 0.0000

The following is a DFT calculation (PBE) of an optimized crystal structure of Hg2RhBr.

Its uncorrected formation energy is 156.2 meV/atom. Its symmetry is Cmmm, No. 65. The distance to the lowest polymorph of the same formula is 94 meV per atom. The value obtained for the total DFT energy (no corrections) is -2.251 eV per atom.

Cell: 4.2314 5.8936 5.8965 Å, 49.29 90.00 90.00°
Sites, in units of the cell vectors:
1 Hg 0.0000 0.0852 0.0843
2 Hg 0.0000 0.4148 0.4157
3 Br 0.5000 0.7500 0.7500
4 Rh 0.5000 0.2500 0.2500

The following is a DFT calculation (PBE) of an optimized crystal structure of Hg2RhBr.

Its uncorrected formation energy is 230.5 meV/atom. Its symmetry is P4mm, No. 99. The distance to the lowest polymorph of the same formula is 168 meV per atom. The value obtained for the total DFT energy (no corrections) is -2.177 eV per atom.

Cell: 3.7671 3.7666 6.9710 Å, 90.00 90.00 90.00°
Sites, in units of the cell vectors:
1 Hg 0.0000 0.0000 0.0119
2 Hg 0.5000 0.5000 0.3172
3 Rh 0.0000 0.0000 0.3919
4 Br 0.5000 0.5000 0.7789

The following is a DFT calculation (PBE) of an optimized crystal structure of HgRhBr2.

Its uncorrected formation energy is 528.2 meV/atom. Its symmetry is Cmmm, No. 65. The distance to the lowest polymorph of the same formula is 674 meV per atom. The value obtained for the total DFT energy (no corrections) is -2.222 eV per atom.

Cell: 5.0806 5.0806 3.5348 Å, 90.00 90.00 94.95°
Site moments in Bohr magnetons follow the coordinates.
Sites, in units of the cell vectors:
1 Br 0.0000 0.0000 0.0000  0.13
2 Br 0.5000 0.5000 0.0000  0.13
3 Hg 0.5000 0.0000 0.5000  0.04
4 Rh 0.0000 0.5000 0.5000  1.49

The following is a DFT calculation (PBE) of an optimized crystal structure of HgRh2Br.

Its uncorrected formation energy is 636.8 meV/atom. Its symmetry is I-4m2, No. 119. The distance to the lowest polymorph of the same formula is 398 meV per atom. The value obtained for the total DFT energy (no corrections) is -3.533 eV per atom.

Cell: 5.5130 5.5130 5.5130 Å, 138.30 138.30 60.44°
Site moments in Bohr magnetons follow the coordinates.
Sites, in units of the cell vectors:
1 Rh 0.2500 0.7500 0.5000  0.64
2 Rh 0.0000 0.0000 0.0000  0.52
3 Br 0.5000 0.5000 0.0000  0.04
4 Hg 0.7500 0.2500 0.5000  -0.01